(1)
Compound: Dy6Er3Cd
Source: Alexandria
Functional: GGA-PBE
Structure: optimized geometry

```
Dy6Er3Cd
1.0
4.970 0.000 0.000
0.000 10.928 -0.252
0.000 0.021 11.109
Dy Er Cd
12 6 2
direct
0.250 0.449 0.102 Dy
0.750 0.551 0.898 Dy
0.250 0.152 0.193 Dy
0.750 0.848 0.807 Dy
0.250 0.653 0.701 Dy
0.750 0.347 0.299 Dy
0.250 0.239 0.495 Dy
0.750 0.761 0.505 Dy
0.250 0.859 0.313 Dy
0.750 0.141 0.687 Dy
0.250 0.047 0.897 Dy
0.750 0.953 0.103 Dy
0.250 0.551 0.401 Er
0.750 0.449 0.599 Er
0.250 0.347 0.794 Er
0.750 0.653 0.206 Er
0.250 0.752 0.007 Er
0.750 0.248 0.993 Er
0.250 0.949 0.605 Cd
0.750 0.051 0.395 Cd
```

Distance to the lowest polymorph of the same formula   0 meV per atom
Magnetization   0.00 μB per formula unit
Calculated formation energy   -0.018 eV per atom
Symmetry   P2_1/m (11)
ρ   8.75 Mg/m³


(2)
Compound: HfSnS3
Source: Alexandria
Functional: GGA-PBE
Structure: optimized geometry

```
HfSnS3
1.0
-1.706 0.011 3.301
-0.142 -7.265 -0.048
8.530 -0.814 4.411
Hf Sn S
2 2 6
direct
0.250 0.931 0.178 Hf
0.750 0.069 0.822 Hf
0.250 0.544 0.813 Sn
0.750 0.456 0.187 Sn
0.250 0.200 0.982 S
0.750 0.800 0.018 S
0.250 0.628 0.322 S
0.750 0.372 0.678 S
0.250 0.921 0.695 S
0.750 0.079 0.305 S
```

Magnetization   0.00 μB per formula unit
Formation energy from raw total energies   -1.064 eV/atom
Symmetry   P2_1/m (11)
ρ   5.03 Mg/m³


(3)
Compound: ScFeSb2I
Source: Alexandria
Functional: GGA-PBE
Structure: optimized geometry

```
ScFeSb2I
1.0
-0.976 5.168 -1.768
-4.737 0.093 2.886
2.709 2.010 4.382
I Sb Sc Fe
1 2 1 1
direct
0.000 0.000 0.500 I
0.000 0.500 0.000 Sb
0.500 0.000 0.000 Sb
0.000 0.000 0.000 Sc
0.500 0.500 0.500 Fe
```

Distance to the lowest polymorph of the same formula   340 meV per atom
Magnetization   3.53 μB per formula unit
Formation energy from raw total energies   0.652 eV/atom
Symmetry   P4/mmm (123)
ρ   4.60 Mg/m³


(4)
Compound: Pu2Pa2S7
Source: Alexandria
Functional: GGA-PBE
Structure: optimized geometry

```
Pu2Pa2S7
1.0
4.580 0.000 0.000
0.000 4.580 0.000
0.000 0.000 12.969
Pu Pa S
2 2 7
direct
0.500 0.000 0.867 Pu
0.000 0.500 0.133 Pu
0.500 0.000 0.371 Pa
0.000 0.500 0.629 Pa
0.500 0.500 0.000 S
0.000 0.000 0.245 S
0.500 0.500 0.257 S
0.000 0.000 0.500 S
0.500 0.500 0.500 S
0.000 0.000 0.755 S
0.500 0.500 0.743 S
```

Distance to the lowest polymorph of the same formula   63 meV per atom
Magnetization   12.03 μB per formula unit
Formation energy from raw total energies   -1.581 eV/atom
Symmetry   P-4m2 (115)
ρ   7.17 Mg/m³


(5)
Compound: NaBe2HgF8
Source: Alexandria
Functional: GGA-PBE
Structure: optimized geometry

```
NaBe2HgF8
1.0
-4.647 -0.907 -1.252
-1.061 -1.536 -4.528
-1.121 -7.875 0.286
Na Be Hg F
1 2 1 8
direct
0.000 0.000 0.000 Na
0.745 0.745 0.764 Be
0.255 0.255 0.236 Be
0.500 0.500 0.500 Hg
0.677 0.677 0.970 F
0.323 0.323 0.030 F
0.540 0.220 0.304 F
0.780 0.460 0.696 F
0.064 0.780 0.696 F
0.220 0.936 0.304 F
0.936 0.540 0.304 F
0.460 0.064 0.696 F
```

Magnetization   1.10 μB per formula unit
Formation energy from raw total energies   -2.381 eV/atom
Symmetry   R32 (155)
ρ   4.23 Mg/m³


(6)
Compound: Tm2HfCo
Source: Alexandria
Functional: GGA-PBE
Structure: optimized geometry

```
Tm2HfCo
1.0
-0.285 3.191 -0.893
-2.382 -0.820 -2.172
-5.468 1.076 5.589
Co Tm Hf
1 2 1
direct
0.500 0.500 0.000 Co
0.000 0.000 0.796 Tm
0.000 0.000 0.204 Tm
0.500 0.500 0.500 Hf
```

Distance to the lowest polymorph of the same formula   0 meV per atom
Magnetization   0.51 μB per formula unit
Calculated formation energy   -0.011 eV per atom
Symmetry   P4/mmm (123)
ρ   10.94 Mg/m³


Q: Which value of magnetization does entry 2 give?
A: 0.00 μB per formula unit